Density functional theory data (PBE-GGA) for a relaxed PmRhI crystal.

Unit cell a=3.9411 b=4.1170 c=10.9165 alpha=90.46 beta=100.36 gamma=90.02
Element x y z (fractional)
Pm: 0.0773 0.2537 0.1557
Pm: 0.9227 0.7463 0.8443
Rh: 0.4605 0.2480 0.9200
Rh: 0.5395 0.7520 0.0800
I: 0.3320 0.2435 0.6624
I: 0.6680 0.7565 0.3376

Properties
The energy above the most stable polymorph in this dataset is 132 meV/atom. The calculated density is 7.144 g cm⁻³. The value obtained for the uncorrected formation energy is -0.902 eV/atom. The space group is P-1.



Density functional theory data (PBE-GGA) for a relaxed FeNi2Ru crystal.

Unit cell a=4.0409 b=4.0409 c=4.0409 alpha=60.00 beta=60.00 gamma=60.00
Element x y z (fractional)
Fe: 0.0000 0.0000 0.0000
Ni: 0.2500 0.2500 0.2500
Ni: 0.7500 0.7500 0.7500
Ru: 0.5000 0.5000 0.5000

Properties
The calculated density is 9.762 g cm⁻³. The total energy comes out at -6.976 eV per atom. The space group is Fm-3m.